# MnPd2CF | Alexandria | PBE+U | optimized geometry
# Density of states at the Fermi level, states/eV per atom: 0.8684
# Volume, Å³ per cell: 84.1
# VASP energy, eV per atom: -4.32
data_MnPd2CF
_chemical_formula_sum 'Mn1 Pd2 C1 F1'
_symmetry_space_group_name_H-M 'P 4/m m m'
_symmetry_Int_Tables_number 123
_symmetry_space_group_name_Hall '-P 4 2'
_cell_length_a 4.852
_cell_length_b 4.852
_cell_length_c 3.572
_cell_angle_alpha 90.00
_cell_angle_beta 90.00
_cell_angle_gamma 90.00
loop_
_atom_site_label
_atom_site_fract_x
_atom_site_fract_y
_atom_site_fract_z
_atom_site_occupancy
Mn1 0.000 0.000 0.000 1
Pd1 0.000 0.500 0.000 1
C1 0.000 0.000 0.500 1
F1 0.500 0.500 0.500 1